# 1
A plane-wave DFT calculation with PBE was carried out for a relaxed CrCdSb2I crystal. Values from VASP.

Structure (Quantum ESPRESSO input):
```
&SYSTEM
  ibrav = 0, nat = 5, ntyp = 4
/
ATOMIC_SPECIES
Cr 52.00 Cr.upf
Cd 112.41 Cd.upf
Sb 121.76 Sb.upf
I 126.90 I.upf
CELL_PARAMETERS angstrom
5.0410 0.0000 0.0000
0.0000 5.0410 0.0000
0.0000 0.0000 5.8977
ATOMIC_POSITIONS crystal
Cr 0.0000 0.0000 0.0000
Cd 0.5000 0.5000 0.5000
Sb 0.0000 0.5000 0.0000
Sb 0.5000 0.0000 0.0000
I 0.0000 0.0000 0.5000
```

## Properties
Space-group type: No. 123
E above lowest polymorph: 0.0 meV/atom
VASP energy: -3.707 eV/atom
Uncorrected formation energy: 35 kJ/mol of atoms

# 2
A plane-wave DFT calculation with PBE was carried out for a relaxed CrCdSb2I crystal. Values from VASP.

Structure (Quantum ESPRESSO input):
```
&SYSTEM
  ibrav = 0, nat = 5, ntyp = 4
/
ATOMIC_SPECIES
Cr 52.00 Cr.upf
Cd 112.41 Cd.upf
Sb 121.76 Sb.upf
I 126.90 I.upf
CELL_PARAMETERS angstrom
5.4621 0.0000 0.0000
0.0000 5.4621 0.0000
0.0000 0.0000 5.8136
ATOMIC_POSITIONS crystal
Cr 0.0000 0.0000 0.0000
Cd 0.5000 0.5000 0.5000
Sb 0.0000 0.5000 0.5000
Sb 0.5000 0.0000 0.5000
I 0.5000 0.5000 0.0000
```

## Properties
Space-group type: No. 123
E above lowest polymorph: 1126.0 meV/atom
VASP energy: -2.581 eV/atom
Uncorrected formation energy: 143 kJ/mol of atoms

# 3
A plane-wave DFT calculation with PBE was carried out for a relaxed Sc2CrCdI crystal. Values from VASP.

Structure (Quantum ESPRESSO input):
```
&SYSTEM
  ibrav = 0, nat = 5, ntyp = 4
/
ATOMIC_SPECIES
Sc 44.96 Sc.upf
Cr 52.00 Cr.upf
Cd 112.41 Cd.upf
I 126.90 I.upf
CELL_PARAMETERS angstrom
5.3879 0.0000 0.0000
0.0000 5.3879 0.0000
0.0000 0.0000 5.1227
ATOMIC_POSITIONS crystal
Sc 0.0000 0.5000 0.0000
Sc 0.5000 0.0000 0.0000
Cr 0.0000 0.0000 0.5000
Cd 0.0000 0.0000 0.0000
I 0.5000 0.5000 0.5000
```

## Properties
Space-group type: No. 123
VASP energy: -4.360 eV/atom
Uncorrected formation energy: 57 kJ/mol of atoms

# 4
A plane-wave DFT calculation with PBE was carried out for a relaxed CrCdSn2I crystal. Values from VASP.

Structure (Quantum ESPRESSO input):
```
&SYSTEM
  ibrav = 0, nat = 5, ntyp = 4
/
ATOMIC_SPECIES
Cr 52.00 Cr.upf
Cd 112.41 Cd.upf
Sn 118.71 Sn.upf
I 126.90 I.upf
CELL_PARAMETERS angstrom
5.2020 0.0000 0.0000
0.0000 5.2020 0.0000
0.0000 0.0000 5.5660
ATOMIC_POSITIONS crystal
Cr 0.0000 0.0000 0.0000
Cd 0.5000 0.5000 0.5000
Sn 0.0000 0.5000 0.0000
Sn 0.5000 0.0000 0.0000
I 0.0000 0.0000 0.5000
```

## Properties
Space-group type: No. 123
VASP energy: -3.670 eV/atom
Uncorrected formation energy: 34 kJ/mol of atoms

# 5
A plane-wave DFT calculation with PBE was carried out for a relaxed CrCdTe2I crystal. Values from VASP.

Structure (Quantum ESPRESSO input):
```
&SYSTEM
  ibrav = 0, nat = 5, ntyp = 4
/
ATOMIC_SPECIES
Cr 52.00 Cr.upf
Cd 112.41 Cd.upf
Te 127.60 Te.upf
I 126.90 I.upf
CELL_PARAMETERS angstrom
5.2386 0.0000 0.0000
0.0000 5.2386 0.0000
0.0000 0.0000 5.6939
ATOMIC_POSITIONS crystal
Cr 0.0000 0.0000 0.0000
Cd 0.5000 0.5000 0.5000
Te 0.0000 0.5000 0.0000
Te 0.5000 0.0000 0.0000
I 0.0000 0.0000 0.5000
```

## Properties
Space-group type: No. 123
E above lowest polymorph: 0.0 meV/atom
VASP energy: -3.461 eV/atom
Uncorrected formation energy: 21 kJ/mol of atoms

# 6
A plane-wave DFT calculation with PBE was carried out for a relaxed CrCd2WI crystal. Values from VASP.

Structure (Quantum ESPRESSO input):
```
&SYSTEM
  ibrav = 0, nat = 5, ntyp = 4
/
ATOMIC_SPECIES
Cr 52.00 Cr.upf
Cd 112.41 Cd.upf
W 183.84 W.upf
I 126.90 I.upf
CELL_PARAMETERS angstrom
5.6833 0.0000 0.0000
0.0000 5.6833 0.0000
0.0000 0.0000 4.9521
ATOMIC_POSITIONS crystal
Cr 0.0000 0.0000 0.0000
Cd 0.0000 0.5000 0.5000
Cd 0.5000 0.0000 0.5000
W 0.5000 0.5000 0.0000
I 0.5000 0.5000 0.5000
```

## Properties
Space-group type: No. 123
VASP energy: -3.084 eV/atom
Uncorrected formation energy: 203 kJ/mol of atoms

# 7
A plane-wave DFT calculation with PBE was carried out for a relaxed Cr2CdIn crystal. Values from VASP.

Structure (Quantum ESPRESSO input):
```
&SYSTEM
  ibrav = 0, nat = 4, ntyp = 3
/
ATOMIC_SPECIES
Cr 52.00 Cr.upf
Cd 112.41 Cd.upf
In 114.82 In.upf
CELL_PARAMETERS angstrom
4.4657 0.0000 0.0000
0.0000 4.4657 0.0000
0.0000 0.0000 3.7190
ATOMIC_POSITIONS crystal
Cr 0.0000 0.5000 0.0000
Cr 0.5000 0.0000 0.0000
Cd 0.0000 0.0000 0.5000
In 0.5000 0.5000 0.5000
```

## Properties
Space-group type: No. 123
VASP energy: -5.290 eV/atom

# 8
A plane-wave DFT calculation with PBE was carried out for a relaxed Cr2CdIn crystal. Values from VASP.

Structure (Quantum ESPRESSO input):
```
&SYSTEM
  ibrav = 0, nat = 4, ntyp = 3
/
ATOMIC_SPECIES
Cr 52.00 Cr.upf
Cd 112.41 Cd.upf
In 114.82 In.upf
CELL_PARAMETERS angstrom
3.1033 0.0000 0.0000
0.0000 3.1033 0.0000
0.0000 0.0000 7.3458
ATOMIC_POSITIONS crystal
Cr 0.0000 0.0000 0.0000
Cr 0.5000 0.5000 0.1522
Cd 0.5000 0.5000 0.7390
In 0.0000 0.0000 0.4128
```

## Properties
Space-group type: No. 99
VASP energy: -5.467 eV/atom

# 9
A plane-wave DFT calculation with PBE was carried out for a relaxed Cr4CdIn crystal. Values from VASP.

Structure (Quantum ESPRESSO input):
```
&SYSTEM
  ibrav = 0, nat = 6, ntyp = 3
/
ATOMIC_SPECIES
Cr 52.00 Cr.upf
Cd 112.41 Cd.upf
In 114.82 In.upf
CELL_PARAMETERS angstrom
0.0000 3.5294 3.5294
3.5294 0.0000 3.5294
3.5294 3.5294 0.0000
ATOMIC_POSITIONS crystal
Cr 0.1229 0.1229 0.1229
Cr 0.1229 0.1229 0.6314
Cr 0.1229 0.6314 0.1229
Cr 0.6314 0.1229 0.1229
Cd 0.7500 0.7500 0.7500
In 0.5000 0.5000 0.5000
```

## Properties
Space-group type: No. 216
VASP energy: -6.537 eV/atom

# 10
A plane-wave DFT calculation with PBE was carried out for a relaxed CrCd2In crystal. Values from VASP.

Structure (Quantum ESPRESSO input):
```
&SYSTEM
  ibrav = 0, nat = 4, ntyp = 3
/
ATOMIC_SPECIES
Cr 52.00 Cr.upf
Cd 112.41 Cd.upf
In 114.82 In.upf
CELL_PARAMETERS angstrom
3.2105 0.0000 0.0000
0.0000 3.2105 0.0000
0.0000 0.0000 8.3685
ATOMIC_POSITIONS crystal
Cr 0.0000 0.0000 0.0000
Cd 0.5000 0.5000 0.2202
Cd 0.5000 0.5000 0.7798
In 0.0000 0.0000 0.5000
```

## Properties
Space-group type: No. 123
VASP energy: -3.282 eV/atom

# 11
A plane-wave DFT calculation with PBE was carried out for a relaxed Cr2CdIn crystal. Values from VASP.

Structure (Quantum ESPRESSO input):
```
&SYSTEM
  ibrav = 0, nat = 4, ntyp = 3
/
ATOMIC_SPECIES
Cr 52.00 Cr.upf
Cd 112.41 Cd.upf
In 114.82 In.upf
CELL_PARAMETERS angstrom
-2.1412 2.1412 3.9911
2.1412 -2.1412 3.9911
2.1412 2.1412 -3.9911
ATOMIC_POSITIONS crystal
Cr 0.0000 0.0000 0.0000
Cr 0.7500 0.2500 0.5000
Cd 0.5000 0.5000 0.0000
In 0.2500 0.7500 0.5000
```

## Properties
Space-group type: No. 119
VASP energy: -5.355 eV/atom

# 12
A plane-wave DFT calculation with PBE was carried out for a relaxed Cr2CdIn crystal. Values from VASP.

Structure (Quantum ESPRESSO input):
```
&SYSTEM
  ibrav = 0, nat = 4, ntyp = 3
/
ATOMIC_SPECIES
Cr 52.00 Cr.upf
Cd 112.41 Cd.upf
In 114.82 In.upf
CELL_PARAMETERS angstrom
5.3238 -1.4781 0.0000
5.3238 1.4781 0.0000
-2.7308 0.0000 4.8081
ATOMIC_POSITIONS crystal
Cr 0.2498 0.2498 0.1401
Cr 0.7502 0.7502 0.8599
Cd 0.0000 0.0000 0.5000
In 0.5000 0.5000 0.0000
```

## Properties
Space-group type: No. 12
VASP energy: -5.154 eV/atom

What is the formula in the third record? Sc2CrCdI

The highest VASP energy belongs to which entry? number 2